Entry 1:
Material: RbSr4
Method: DFT, GGA-PBE
State: optimized geometry

The structure belongs to space group Pm-3m (No. 221); the cell edges are 6.817, 6.817 and 6.817 Å and the angles 90.00°, 90.00° and 90.00°. The distinct sites, in fractional coordinates, are Rb at (0.000, 0.000, 0.000), Sr at (0.000, 0.000, 0.500) and Sr at (0.500, 0.500, 0.500).

The formation energy comes out at 0.637 eV/atom. Its uncorrected energy is -0.90 eV/atom.

---

Entry 2:
Material: Rb3Sr
Method: DFT, GGA-PBE
State: optimized geometry

The structure belongs to space group Imm2 (No. 44); the cell edges are 4.606, 15.818 and 8.514 Å and the angles 90.00°, 90.00° and 90.00°. The distinct sites, in fractional coordinates, are Rb at (0.000, 0.000, 0.000), Rb at (0.000, 0.246, 0.686) and Sr at (0.000, 0.500, 0.997).

The formation energy comes out at 0.113 eV/atom. Its uncorrected energy is -1.03 eV/atom.

---

Entry 3:
Material: Rb6Sr
Method: DFT, GGA-PBE
State: optimized geometry

The structure belongs to space group Im-3m (No. 229); the cell edges are 11.750, 11.750 and 11.750 Å and the angles 90.00°, 90.00° and 90.00°. The distinct sites, in fractional coordinates, are Rb at (0.000, 0.250, 0.500) and Sr at (0.000, 0.000, 0.000).

The formation energy comes out at 0.403 eV/atom. Its uncorrected energy is -0.67 eV/atom.

---

Entry 4:
Material: RbSr5
Method: DFT, GGA-PBE
State: optimized geometry

The structure belongs to space group Cmmm (No. 65); the cell edges are 7.027, 21.075 and 4.673 Å and the angles 90.00°, 90.00° and 90.00°. The distinct sites, in fractional coordinates, are Rb at (0.000, 0.000, 0.000), Sr at (0.000, 0.172, 0.500), Sr at (0.000, 0.332, 0.000) and Sr at (0.000, 0.500, 0.500).

The formation energy comes out at 0.083 eV/atom. Its uncorrected energy is -1.48 eV/atom.

---

Entry 5:
Material: RbSr2
Method: DFT, GGA-PBE
State: optimized geometry

The structure belongs to space group Fd-3m (No. 227, origin choice 2); the cell edges are 11.764, 11.764 and 11.764 Å and the angles 90.00°, 90.00° and 90.00°. The distinct sites, in fractional coordinates, are Rb at (0.125, 0.125, 0.125) and Sr at (0.000, 0.000, 0.500).

The formation energy comes out at 0.147 eV/atom. Its uncorrected energy is -1.30 eV/atom.

---

Entry 6:
Material: RbSr2Ta
Method: DFT, GGA-PBE
State: optimized geometry

The structure belongs to space group Fm-3m (No. 225); the cell edges are 8.686, 8.686 and 8.686 Å and the angles 90.00°, 90.00° and 90.00°. The distinct sites, in fractional coordinates, are Rb at (0.000, 0.000, 0.000), Sr at (0.250, 0.250, 0.250) and Ta at (0.000, 0.000, 0.500).

The formation energy comes out at 1.121 eV/atom. Its uncorrected energy is -2.93 eV/atom.

---

Entry 7:
Material: RbSr2Ta
Method: DFT, GGA-PBE
State: optimized geometry

The structure belongs to space group I-42d (No. 122); the cell edges are 10.098, 10.098 and 7.966 Å and the angles 90.00°, 90.00° and 90.00°. The distinct sites, in fractional coordinates, are Rb at (0.000, 0.000, 0.000), Sr at (0.192, 0.750, 0.625) and Ta at (0.000, 0.000, 0.500).

The formation energy comes out at 1.310 eV/atom. Its uncorrected energy is -2.74 eV/atom.

---

Entry 8:
Material: Rb2SrTaTe4
Method: DFT, GGA-PBE
State: optimized geometry

The structure belongs to space group I-4 (No. 82); the cell edges are 8.797, 8.797 and 9.680 Å and the angles 90.00°, 90.00° and 90.00°. The distinct sites, in fractional coordinates, are Rb at (0.000, 0.000, 0.000), Rb at (0.000, 0.500, 0.250), Sr at (0.000, 0.500, 0.750), Ta at (0.000, 0.000, 0.500) and Te at (0.169, 0.198, 0.643).

Its uncorrected energy is -4.25 eV/atom. The calculation puts the formation energy from raw total energies at -0.75 eV per atom.

---

Entry 9:
Material: RbSrTc2
Method: DFT, GGA-PBE
State: optimized geometry

The structure belongs to space group I-42d (No. 122); the cell edges are 8.908, 8.908 and 5.542 Å and the angles 90.00°, 90.00° and 90.00°. The distinct sites, in fractional coordinates, are Rb at (0.000, 0.000, 0.000), Sr at (0.000, 0.000, 0.500) and Tc at (0.248, 0.750, 0.625).

The formation energy comes out at 1.896 eV/atom. Its uncorrected energy is -3.95 eV/atom.

---

Entry 10:
Material: RbSr3Tc
Method: DFT, GGA-PBE
State: optimized geometry

The structure belongs to space group Pm-3m (No. 221); the cell edges are 6.131, 6.131 and 6.131 Å and the angles 90.00°, 90.00° and 90.00°. The distinct sites, in fractional coordinates, are Rb at (0.000, 0.000, 0.000), Sr at (0.000, 0.500, 0.500) and Tc at (0.500, 0.500, 0.500).

The formation energy comes out at 0.504 eV/atom. Its uncorrected energy is -2.77 eV/atom.

---

Entry 11:
Material: Rb3SrTc
Method: DFT, GGA-PBE
State: optimized geometry

The structure belongs to space group Pm-3m (No. 221); the cell edges are 6.430, 6.430 and 6.430 Å and the angles 90.00°, 90.00° and 90.00°. The distinct sites, in fractional coordinates, are Rb at (0.000, 0.000, 0.500), Sr at (0.500, 0.500, 0.500) and Tc at (0.000, 0.000, 0.000).

The formation energy comes out at 1.329 eV/atom. Its uncorrected energy is -1.66 eV/atom.

---

Entry 12:
Material: RbSrTc2
Method: DFT, GGA-PBE
State: optimized geometry

The structure belongs to space group Fm-3m (No. 225); the cell edges are 7.746, 7.746 and 7.746 Å and the angles 90.00°, 90.00° and 90.00°. The distinct sites, in fractional coordinates, are Rb at (0.000, 0.000, 0.000), Sr at (0.000, 0.000, 0.500) and Tc at (0.250, 0.250, 0.250).

The formation energy comes out at 1.888 eV/atom. Its uncorrected energy is -3.96 eV/atom.

---

Entry 13:
Material: Rb3SrTc
Method: DFT, GGA-PBE
State: optimized geometry

The structure belongs to space group Pm-3m (No. 221); the cell edges are 8.018, 8.018 and 8.018 Å and the angles 90.00°, 90.00° and 90.00°. The distinct sites, in fractional coordinates, are Rb at (0.000, 0.000, 0.500), Sr at (0.000, 0.000, 0.000) and Tc at (0.500, 0.500, 0.500).

The formation energy comes out at 1.591 eV/atom. Its uncorrected energy is -1.40 eV/atom.

---

Entry 14:
Material: RbSrTc3
Method: DFT, GGA-PBE
State: optimized geometry

The structure belongs to space group Pm-3m (No. 221); the cell edges are 5.450, 5.450 and 5.450 Å and the angles 90.00°, 90.00° and 90.00°. The distinct sites, in fractional coordinates, are Rb at (0.000, 0.000, 0.000), Sr at (0.500, 0.500, 0.500) and Tc at (0.000, 0.500, 0.500).

The formation energy comes out at 2.743 eV/atom. Its uncorrected energy is -4.01 eV/atom.